First-principles (PBE-GGA) data for crystalline Hf2TlAu at its relaxed geometry, as listed in Alexandria.

Results
- DFT formation energy (eV/atom) = -0.14
- relative energy among the computed polymorphs (meV/atom) = 19.7
- space-group type = P4/mmm, No. 123
- E_tot (eV per atom) = -6.52

Unit cell a=4.260 b=4.410 c=4.410 alpha=90.00 beta=90.00 gamma=90.00
Each line ends with the local moment (μB).
Positions (direct):
Hf (0.000, 0.500, 0.000)  0.10
Tl (0.500, 0.500, 0.500)  0.00
Hf (0.000, 0.000, 0.500)  0.10
Au (0.500, 0.000, 0.000)  0.01